[1]
This record from the Alexandria database describes a relaxed MgZn3Pd4 crystal. The functional is PBE-GGA.

Energy relative to the elements = -0.6138 eV per atom
Space-group type = No. 123
Density of states at the Fermi level = 1.06 states/eV/cell

Lattice parameters (Å, degrees): 4.1729 4.1729 6.7903 90.00 90.00 90.00
Last column: nearest neighbours and their distance in Å.
Atoms (fractional coordinates):
Mg1 0.0000 0.0000 0.0000  8 Pd 2.71, 4 Zn 2.95
Zn1 0.0000 0.0000 0.5000  8 Pd 2.67, 4 Zn 2.95
Zn2 0.5000 0.5000 0.0000  8 Pd 2.71, 4 Mg 2.95
Zn3 0.5000 0.5000 0.5000  8 Pd 2.67, 4 Zn 2.95
Pd1 0.0000 0.5000 0.2558  6 Zn 2.67-2.71, 2 Mg 2.71, 4 Pd 2.95
Pd2 0.0000 0.5000 0.7442  6 Zn 2.67-2.71, 2 Mg 2.71, 4 Pd 2.95
Pd3 0.5000 0.0000 0.2558  6 Zn 2.67-2.71, 2 Mg 2.71, 4 Pd 2.95
Pd4 0.5000 0.0000 0.7442  6 Zn 2.67-2.71, 2 Mg 2.71, 4 Pd 2.95


[2]
This record from the Alexandria database describes a relaxed MgZn6Pd5 crystal. The functional is PBE-GGA.

Energy relative to the elements = -0.4909 eV per atom
Space-group type = No. 71
Density of states at the Fermi level = 3.19 states/eV/cell

Lattice parameters (Å, degrees): 7.6294 7.6294 7.6294 146.14 133.45 58.79
Last column: nearest neighbours and their distance in Å.
Atoms (fractional coordinates):
Mg1 0.0000 0.0000 0.0000  8 Zn 2.76-2.81, 6 Pd 3.01
Zn1 0.0865 0.8253 0.2611  7 Pd 2.62-2.74, 1 Mg 2.81, 1 Zn 2.88
Zn2 0.2719 0.5000 0.7719  6 Pd 2.61-2.62, 1 Zn 2.75, 2 Mg 2.76
Zn3 0.4358 0.1747 0.2611  7 Pd 2.62-2.74, 1 Mg 2.81, 1 Zn 2.88
Zn4 0.5642 0.8253 0.7389  7 Pd 2.62-2.74, 1 Mg 2.81, 1 Zn 2.88
Zn5 0.7281 0.5000 0.2281  6 Pd 2.61-2.62, 1 Zn 2.75, 2 Mg 2.76
Zn6 0.9135 0.1747 0.7389  7 Pd 2.62-2.74, 1 Mg 2.81, 1 Zn 2.88
Pd1 0.1531 0.6531 0.5000  8 Zn 2.61-2.74
Pd2 0.3323 0.3323 0.0000  8 Zn 2.62-2.65
Pd3 0.5000 0.0000 0.5000  8 Zn 2.61-2.73
Pd4 0.6677 0.6677 0.0000  8 Zn 2.62-2.65
Pd5 0.8469 0.3469 0.5000  8 Zn 2.61-2.74


[3]
This record from the Alexandria database describes a relaxed MgZn2Pd8 crystal. The functional is PBE-GGA.

Energy relative to the elements = -0.3522 eV per atom
Space-group type = No. 71
Energy above the lowest structure with this stoichiometry = 0.62 eV per formula unit
Density of states at the Fermi level = 8.32 states/eV/cell

Lattice parameters (Å, degrees): 7.2478 7.2478 7.2478 146.83 123.43 67.17
Last column: nearest neighbours and their distance in Å.
Atoms (fractional coordinates):
Mg1 0.0000 0.0000 0.0000  12 Pd 2.72-2.94
Zn1 0.3053 0.3053 0.0000  10 Pd 2.59-2.80
Zn2 0.6947 0.6947 0.0000  10 Pd 2.59-2.80
Pd1 0.1221 0.8412 0.2809  3 Zn 2.59-2.62, 1 Mg 2.72, 5 Pd 2.76-2.83
Pd2 0.1492 0.6492 0.5000  2 Mg 2.74, 8 Pd 2.76-2.83, 2 Zn 2.80
Pd3 0.3034 0.5000 0.8034  7 Pd 2.70-2.83, 2 Zn 2.71, 2 Mg 2.94
Pd4 0.4397 0.1588 0.2809  3 Zn 2.59-2.62, 1 Mg 2.72, 5 Pd 2.76-2.83
Pd5 0.5603 0.8412 0.7191  3 Zn 2.59-2.62, 1 Mg 2.72, 5 Pd 2.76-2.83
Pd6 0.6966 0.5000 0.1966  7 Pd 2.70-2.83, 2 Zn 2.71, 2 Mg 2.94
Pd7 0.8508 0.3508 0.5000  2 Mg 2.74, 8 Pd 2.76-2.83, 2 Zn 2.80
Pd8 0.8779 0.1588 0.7191  3 Zn 2.59-2.62, 1 Mg 2.72, 5 Pd 2.76-2.83


[4]
This record from the Alexandria database describes a relaxed Mg3ZnPd crystal. The functional is PBE-GGA.

Energy relative to the elements = 0.2994 eV per atom
Space-group type = No. 221
Energy above the lowest structure with this stoichiometry = 3.17 eV per formula unit
Density of states at the Fermi level = 2.90 states/eV/cell

Lattice parameters (Å, degrees): 4.8523 4.8523 4.8523 90.00 90.00 90.00
Last column: nearest neighbours and their distance in Å.
Atoms (fractional coordinates):
Mg1 0.0000 0.0000 0.5000  2 Zn 2.43
Mg2 0.0000 0.5000 0.0000  2 Zn 2.43
Mg3 0.5000 0.0000 0.0000  2 Zn 2.43
Zn1 0.0000 0.0000 0.0000  6 Mg 2.43
Pd1 0.5000 0.5000 0.5000  12 Mg 3.43